1.
Here is a relaxed BaTaCo crystal from Alexandria via LeMat-Bulk. Energies are from PBE.

It has space group I4mm (No. 107), with a = 3.323 Å, b = 3.323 Å, c = 12.779 Å, α = 90.00°, β = 90.00° and γ = 90.00°. Symmetry generates all atoms from Ba at (0.000, 0.000, 0.000), Ta at (0.000, 0.000, 0.270) and Co at (0.000, 0.000, 0.705).

The total magnetic moment is 0.0 μB per formula unit. For the distance to the lowest polymorph of the same formula, the calculation gives 0 meV per atom. For the formation energy, the calculation gives 10.7 kcal/mol of atoms.

2.
Here is a relaxed Ba2TaCo crystal from Alexandria via LeMat-Bulk. Energies are from PBE.

It has space group P4mm (No. 99), with a = 3.453 Å, b = 3.453 Å, c = 10.037 Å, α = 90.00°, β = 90.00° and γ = 90.00°. Symmetry generates all atoms from Ba at (0.000, 0.000, 0.000), Ba at (0.500, 0.500, 0.400), Ta at (0.500, 0.500, 0.722) and Co at (0.000, 0.000, 0.657).

The total magnetic moment is 0.7 μB per formula unit. For the distance to the lowest polymorph of the same formula, the calculation gives 83 meV per atom. For the formation energy, the calculation gives 10.7 kcal/mol of atoms.

Q: The highest total magnetic moment belongs to which entry?
A: Ba2TaCo

Repeat the first record exactly.
Here is a relaxed BaTaCo crystal from Alexandria via LeMat-Bulk. Energies are from PBE.

It has space group I4mm (No. 107), with a = 3.323 Å, b = 3.323 Å, c = 12.779 Å, α = 90.00°, β = 90.00° and γ = 90.00°. Symmetry generates all atoms from Ba at (0.000, 0.000, 0.000), Ta at (0.000, 0.000, 0.270) and Co at (0.000, 0.000, 0.705).

The total magnetic moment is 0.0 μB per formula unit. For the distance to the lowest polymorph of the same formula, the calculation gives 0 meV per atom. For the formation energy, the calculation gives 10.7 kcal/mol of atoms.